This record from the Alexandria database describes KPPb2 after structural relaxation. The functional is GGA-PBE.

Output
As for the space-group type: Pbcm. For the total energy, the calculation gives -3.477 eV/atom.

a b c (Å): 6.678 7.638 11.806
angles (deg): 90.00 90.00 90.00
Positions (direct):
Pb (0.750, 0.381, 0.923)
Pb (0.250, 0.619, 0.077)
Pb (0.750, 0.619, 0.423)
Pb (0.250, 0.381, 0.577)
Pb (0.000, 0.362, 0.250)
Pb (0.500, 0.638, 0.750)
Pb (0.000, 0.638, 0.750)
Pb (0.500, 0.362, 0.250)
P (0.750, 0.430, 0.616)
P (0.250, 0.570, 0.384)
P (0.750, 0.570, 0.116)
P (0.250, 0.430, 0.884)
K (0.750, 0.974, 0.119)
K (0.250, 0.026, 0.881)
K (0.750, 0.026, 0.619)
K (0.250, 0.974, 0.381)